A plane-wave DFT calculation with PBEsol was carried out for a geometry-optimized SrCaRh structure.

Geometry as POSCAR:
```
SrCaRh
1.0
4.950 0.000 0.000
2.475 4.286 0.000
2.475 1.429 4.041
Rh Ca Sr
1 1 1
Cartesian
2.475 1.429 1.010
4.950 2.858 2.021
0.000 0.000 0.000
```

The volume is 28.6 Å³/atom. The density of states at the Fermi level is 0.9510 states/eV per atom. As for the formation energy from the elements: -95 meV/atom. As for the energy above the most stable polymorph in this dataset: 0.059 eV/atom. The final energy comes out at -4.132 eV per atom.